DFT (PBE-GGA) results for a relaxed structure of ErTmZnCu.

abc: 3.4751 3.4751 6.9602
angles: 90.00 90.00 90.00
Positions (direct):
Tm1 0.0000 0.0000 0.3642
Er1 0.0000 0.0000 0.8501
Cu1 0.5000 0.5000 0.6049
Zn1 0.5000 0.5000 0.1088

* calculated formation energy: -0.317 eV per atom
* density: 9.19 Mg/m³
* energy: -3.918 eV/atom
* crystal system: tetragonal
* energy above the most stable polymorph in this dataset: 0 meV per atom
* symmetry: P4mm (99)
* total magnetic moment: 0.000 μB/atom